This record from Alexandria via LeMat-Bulk describes a geometry-optimized PmHo3Tm6Sc2 structure. The functional is PBE.

Calculated values
For the density of states at the Fermi level, the calculation gives 17.12 states/eV per cell. The calculated formation energy comes out at 38 meV/atom. The value obtained for the total energy is -4.793 eV/atom. As for the space group: C2/m (12).

Lattice parameters (Å, degrees): 6.008 6.008 11.521 94.97 94.97 119.95
Positions (direct):
Tm (0.747, 0.747, 0.247)
Tm (0.083, 0.419, 0.247)
Tm (0.917, 0.581, 0.753)
Tm (0.253, 0.253, 0.753)
Tm (0.581, 0.917, 0.753)
Tm (0.419, 0.083, 0.247)
Sc (0.667, 0.333, 0.000)
Sc (0.333, 0.667, 0.000)
Ho (0.833, 0.167, 0.500)
Ho (0.167, 0.833, 0.500)
Ho (0.500, 0.500, 0.500)
Pm (0.000, 0.000, 0.000)

---

This record from Alexandria via LeMat-Bulk describes a geometry-optimized Pm4HoTm2Sc structure. The functional is PBE.

Calculated values
For the density of states at the Fermi level, the calculation gives 10.95 states/eV per cell. The calculated formation energy comes out at 29 meV/atom. The value obtained for the total energy is -4.828 eV/atom. As for the space group: Pmmm (47).

Lattice parameters (Å, degrees): 5.071 5.060 11.036 62.72 90.00 90.00
Positions (direct):
Tm (0.500, 0.000, 0.500)
Tm (0.000, 0.000, 0.000)
Pm (0.500, 0.745, 0.255)
Pm (0.000, 0.245, 0.255)
Pm (0.500, 0.255, 0.745)
Pm (0.000, 0.755, 0.745)
Sc (0.000, 0.500, 0.500)
Ho (0.500, 0.500, 0.000)

---

Copy entry 1 word for word.
This record from Alexandria via LeMat-Bulk describes a geometry-optimized PmHo3Tm6Sc2 structure. The functional is PBE.

Calculated values
For the density of states at the Fermi level, the calculation gives 17.12 states/eV per cell. The calculated formation energy comes out at 38 meV/atom. The value obtained for the total energy is -4.793 eV/atom. As for the space group: C2/m (12).

Lattice parameters (Å, degrees): 6.008 6.008 11.521 94.97 94.97 119.95
Positions (direct):
Tm (0.747, 0.747, 0.247)
Tm (0.083, 0.419, 0.247)
Tm (0.917, 0.581, 0.753)
Tm (0.253, 0.253, 0.753)
Tm (0.581, 0.917, 0.753)
Tm (0.419, 0.083, 0.247)
Sc (0.667, 0.333, 0.000)
Sc (0.333, 0.667, 0.000)
Ho (0.833, 0.167, 0.500)
Ho (0.167, 0.833, 0.500)
Ho (0.500, 0.500, 0.500)
Pm (0.000, 0.000, 0.000)

---

Question: Among the records above, which one has the highest calculated formation energy?
Answer: PmHo3Tm6Sc2

---

Question: What is the total energy in the first record?
Answer: -4.793 eV/atom